VASP calculation (PBE) on a relaxed structure of UGa2Rh.

Cell lengths 3.017, 3.017, 7.463 Å; angles 90.00, 90.00, 90.00 degrees
Site moments in Bohr magnetons follow the coordinates.
Element x y z (fractional)
Rh  0.500  0.500  0.000  0.00
U  0.500  0.500  0.500  2.12
Ga  0.000  0.000  0.796  -0.02
Ga  0.000  0.000  0.204  -0.02

Size of the total moment ... 0.56 μB/atom
Symmetry ... No. 123
Formation energy ... -0.38 eV per atom
Energy ... -6.56 eV per atom